Material: RbBr2Cl
Method: DFT, GGA-PBE
State: relaxed

abc: 6.1531 6.1531 10.1003
angles: 72.27 72.27 90.00
Closest atoms and distances in Å follow each position.
Atoms (fractional coordinates):
Br 0.5215 0.1250 0.2500  2 Cl 2.89
Br 0.2285 0.6250 0.2500  2 Cl 2.89
Br 0.3750 0.4785 0.7500  2 Cl 2.89
Br 0.8750 0.7715 0.7500  2 Cl 2.89
Rb 0.0000 0.0000 0.0000  4 Br 3.51
Rb 0.7500 0.2500 0.5000  4 Br 3.51
Cl 0.5000 0.5000 0.0000  4 Br 2.89
Cl 0.2500 0.7500 0.5000  4 Br 2.89

## Properties
Fermi-level density of states	1.04	states/eV per atom
E above lowest polymorph	412	meV/atom
size of the total moment	0.000	μB per atom
E_tot	-2.100	eV/atom